# Ca2Zn3Cu12Pd GGA-PBE relaxed
# Formation energy from the elements in eV per atom: 0.0772
# N(E_F) in states/eV/f.u.: 8.59
data_Ca2Zn3Cu12Pd
_chemical_formula_sum 'Ca6 Zn9 Cu36 Pd3'
_cell_length_a 8.7809
_cell_length_b 8.7809
_cell_length_c 12.2923
_cell_angle_alpha 90.00
_cell_angle_beta 90.00
_cell_angle_gamma 120.00
_space_group_name_H-M_alt 'R -3 m'
_space_group_IT_number 166
_space_group_name_Hall '-R 3 2"'
loop_
_atom_site_label
_atom_site_fract_x
_atom_site_fract_y
_atom_site_fract_z
Ca1 0.0000 0.0000 0.2206
Zn1 0.0000 0.5000 0.0000
Cu1 0.0096 0.5048 0.2058
Cu2 0.0450 0.5225 0.6006
Pd1 0.0000 0.0000 0.5000

---

# Li4Nb3Cu3Te2O16 GGA-PBE relaxed
# ΔE_f (raw) in eV per atom: -1.692
# N(E_F) in states/eV/f.u.: 5.07
data_Li4Nb3Cu3Te2O16
_chemical_formula_sum 'Li8 Nb6 Cu6 Te4 O32'
_cell_length_a 11.2394
_cell_length_b 6.0224
_cell_length_c 10.5738
_cell_angle_alpha 90.00
_cell_angle_beta 90.46
_cell_angle_gamma 90.00
_space_group_name_H-M_alt 'C 1 m 1'
_space_group_IT_number 8
_space_group_name_Hall 'C -2y'
loop_
_atom_site_label
_atom_site_fract_x
_atom_site_fract_y
_atom_site_fract_z
Li1 0.0000 0.0000 0.0000
Li2 0.0247 0.0000 0.5335
Li3 0.1572 0.5000 0.9324
Li4 0.3522 0.0000 0.3814
Nb1 0.1043 0.2508 0.2395
Nb2 0.1935 0.0000 0.7706
Cu1 0.3536 0.5000 0.2292
Cu2 0.4286 0.2449 0.7434
Te1 0.2002 0.5000 0.5454
Te2 0.3650 0.0000 0.0261
O1 0.0161 0.0000 0.8138
O2 0.0258 0.5000 0.3402
O3 0.0315 0.0000 0.3452
O4 0.1223 0.2524 0.6257
O5 0.1390 0.0000 0.1223
O6 0.1463 0.5000 0.1228
O7 0.2408 0.2301 0.8788
O8 0.2541 0.2530 0.3193
O9 0.3428 0.0000 0.6616
O10 0.3575 0.5000 0.6255
O11 0.4393 0.2562 0.1166
O12 0.4786 0.0000 0.8884

---

# TbHf2Pa GGA-PBE relaxed
# Formation energy from the elements in eV per atom: 0.2803
# N(E_F) in states/eV/f.u.: 7.05
data_TbHf2Pa
_chemical_formula_sum 'Tb3 Hf6 Pa3'
_cell_length_a 5.1122
_cell_length_b 5.1122
_cell_length_c 13.4984
_cell_angle_alpha 90.00
_cell_angle_beta 90.00
_cell_angle_gamma 120.00
_space_group_name_H-M_alt 'R -3 m'
_space_group_IT_number 166
_space_group_name_Hall '-R 3 2"'
loop_
_atom_site_label
_atom_site_fract_x
_atom_site_fract_y
_atom_site_fract_z
Tb1 0.0000 0.0000 0.0000
Hf1 0.0000 0.0000 0.2283
Pa1 0.0000 0.0000 0.5000

---

# NdCd5Cu GGA-PBE relaxed
# Formation energy from the elements in eV per atom: -0.1509
# N(E_F) in states/eV/f.u.: 5.15
data_NdCd5Cu
_chemical_formula_sum 'Nd1 Cd5 Cu1'
_cell_length_a 4.6879
_cell_length_b 4.6879
_cell_length_c 7.5298
_cell_angle_alpha 90.00
_cell_angle_beta 90.00
_cell_angle_gamma 90.00
_space_group_name_H-M_alt 'P 4/m m m'
_space_group_IT_number 123
_space_group_name_Hall '-P 4 2'
loop_
_atom_site_label
_atom_site_fract_x
_atom_site_fract_y
_atom_site_fract_z
Nd1 0.0000 0.0000 0.0000
Cd1 0.0000 0.5000 0.3026
Cd2 0.5000 0.5000 0.0000
Cu1 0.0000 0.0000 0.5000

---

# CdP2IBr GGA-PBE relaxed
# ΔE_f (raw) in eV per atom: 0.864
# N(E_F) in states/eV/f.u.: 3.85
data_CdP2IBr
_chemical_formula_sum 'Cd1 P2 I1 Br1'
_cell_length_a 5.2173
_cell_length_b 5.2173
_cell_length_c 5.2824
_cell_angle_alpha 90.00
_cell_angle_beta 90.00
_cell_angle_gamma 90.00
_space_group_name_H-M_alt 'P 4/m m m'
_space_group_IT_number 123
_space_group_name_Hall '-P 4 2'
loop_
_atom_site_label
_atom_site_fract_x
_atom_site_fract_y
_atom_site_fract_z
Cd1 0.0000 0.0000 0.0000
P1 0.0000 0.5000 0.0000
I1 0.5000 0.5000 0.5000
Br1 0.0000 0.0000 0.5000

---

# BeAgSb GGA-PBE relaxed
# ΔE_f (raw) in eV per atom: 0.397
# N(E_F) in states/eV/f.u.: 0.64
data_BeAgSb
_chemical_formula_sum 'Be2 Ag2 Sb2'
_cell_length_a 3.9647
_cell_length_b 3.9647
_cell_length_c 7.4283
_cell_angle_alpha 90.00
_cell_angle_beta 90.00
_cell_angle_gamma 90.00
_space_group_name_H-M_alt 'I 4 m m'
_space_group_IT_number 107
_space_group_name_Hall 'I 4 -2'
loop_
_atom_site_label
_atom_site_fract_x
_atom_site_fract_y
_atom_site_fract_z
Be1 0.0000 0.0000 0.0000
Ag1 0.0000 0.0000 0.3081
Sb1 0.0000 0.0000 0.6729

---

# Tb3PmOs GGA-PBE relaxed
# Formation energy from the elements in eV per atom: -0.0590
# N(E_F) in states/eV/f.u.: 4.84
data_Tb3PmOs
_chemical_formula_sum 'Tb6 Pm2 Os2'
_cell_length_a 4.9247
_cell_length_b 9.7548
_cell_length_c 6.6083
_cell_angle_alpha 90.00
_cell_angle_beta 111.79
_cell_angle_gamma 90.00
_space_group_name_H-M_alt 'P 1 21/m 1'
_space_group_IT_number 11
_space_group_name_Hall '-P 2yb'
loop_
_atom_site_label
_atom_site_fract_x
_atom_site_fract_y
_atom_site_fract_z
Tb1 0.1336 0.9999 0.2653
Tb2 0.3665 0.2500 0.7342
Pm1 0.3613 0.7500 0.7230
Os1 0.0028 0.7500 0.0046

---

# Li3U3RuN8 GGA-PBE relaxed
# ΔE_f (raw) in eV per atom: -0.771
# N(E_F) in states/eV/f.u.: 7.48
data_Li3U3RuN8
_chemical_formula_sum 'Li9 U9 Ru3 N24'
_cell_length_a 6.7155
_cell_length_b 6.7155
_cell_length_c 14.9674
_cell_angle_alpha 90.00
_cell_angle_beta 90.00
_cell_angle_gamma 120.00
_space_group_name_H-M_alt 'R -3 m'
_space_group_IT_number 166
_space_group_name_Hall '-R 3 2"'
loop_
_atom_site_label
_atom_site_fract_x
_atom_site_fract_y
_atom_site_fract_z
Li1 0.0000 0.5000 0.0000
U1 0.0000 0.5000 0.5000
Ru1 0.0000 0.0000 0.5000
N1 0.0000 0.0000 0.2390
N2 0.0001 0.5001 0.2340

---

# Rb2CoAgI6 GGA-PBE relaxed
# ΔE_f (raw) in eV per atom: -0.591
# N(E_F) in states/eV/f.u.: 23.86
data_Rb2CoAgI6
_chemical_formula_sum 'Rb4 Co2 Ag2 I12'
_cell_length_a 8.1464
_cell_length_b 8.1464
_cell_length_c 11.5909
_cell_angle_alpha 90.00
_cell_angle_beta 90.00
_cell_angle_gamma 90.00
_space_group_name_H-M_alt 'I 4/m m m'
_space_group_IT_number 139
_space_group_name_Hall '-I 4 2'
loop_
_atom_site_label
_atom_site_fract_x
_atom_site_fract_y
_atom_site_fract_z
Rb1 0.0000 0.5000 0.2500
Co1 0.0000 0.0000 0.0000
Ag1 0.0000 0.0000 0.5000
I1 0.0000 0.0000 0.2596
I2 0.2281 0.2281 0.0000

---

# NaEuOF GGA-PBE relaxed
# ΔE_f (raw) in eV per atom: -2.397
# N(E_F) in states/eV/f.u.: 9.45
data_NaEuOF
_chemical_formula_sum 'Na4 Eu4 O4 F4'
_cell_length_a 6.0572
_cell_length_b 6.0572
_cell_length_c 6.0572
_cell_angle_alpha 90.00
_cell_angle_beta 90.00
_cell_angle_gamma 90.00
_space_group_name_H-M_alt 'F -4 3 m'
_space_group_IT_number 216
_space_group_name_Hall 'F -4 2 3'
loop_
_atom_site_label
_atom_site_fract_x
_atom_site_fract_y
_atom_site_fract_z
Na1 0.0000 0.0000 0.0000
Eu1 0.0000 0.0000 0.5000
O1 0.2500 0.2500 0.2500
F1 0.2500 0.2500 0.7500

---

# TlGaO2F GGA-PBE relaxed
# ΔE_f (raw) in eV per atom: -1.341
# N(E_F) in states/eV/f.u.: 2.46
data_TlGaO2F
_chemical_formula_sum 'Tl1 Ga1 O2 F1'
_cell_length_a 3.9737
_cell_length_b 3.9737
_cell_length_c 3.9562
_cell_angle_alpha 90.00
_cell_angle_beta 90.00
_cell_angle_gamma 90.00
_space_group_name_H-M_alt 'P 4/m m m'
_space_group_IT_number 123
_space_group_name_Hall '-P 4 2'
loop_
_atom_site_label
_atom_site_fract_x
_atom_site_fract_y
_atom_site_fract_z
Tl1 0.0000 0.0000 0.0000
Ga1 0.5000 0.5000 0.5000
O1 0.0000 0.5000 0.5000
F1 0.5000 0.5000 0.0000

---

# ErPuBi2O8 GGA-PBE relaxed
# ΔE_f (raw) in eV per atom: -2.123
data_ErPuBi2O8
_chemical_formula_sum 'Er2 Pu2 Bi4 O16'
_cell_length_a 7.4849
_cell_length_b 7.4305
_cell_length_c 6.9726
_cell_angle_alpha 90.00
_cell_angle_beta 90.75
_cell_angle_gamma 90.00
_space_group_name_H-M_alt 'C 1 2/m 1'
_space_group_IT_number 12
_space_group_name_Hall '-C 2y'
loop_
_atom_site_label
_atom_site_fract_x
_atom_site_fract_y
_atom_site_fract_z
Er1 0.0000 0.0000 0.0000
Pu1 0.0000 0.0000 0.5000
Bi1 0.0144 0.5000 0.2401
O1 0.0000 0.2584 0.5000
O2 0.0000 0.3052 0.0000
O3 0.1701 0.0000 0.2783
O4 0.1867 0.0000 0.7447

---

# BaSmGe GGA-PBE relaxed
# Formation energy from the elements in eV per atom: -0.3780
# N(E_F) in states/eV/f.u.: 1.11
data_BaSmGe
_chemical_formula_sum 'Ba1 Sm1 Ge1'
_cell_length_a 5.0029
_cell_length_b 5.0029
_cell_length_c 4.9672
_cell_angle_alpha 90.00
_cell_angle_beta 90.00
_cell_angle_gamma 120.00
_space_group_name_H-M_alt 'P 3 m 1'
_space_group_IT_number 156
_space_group_name_Hall 'P 3 -2"'
loop_
_atom_site_label
_atom_site_fract_x
_atom_site_fract_y
_atom_site_fract_z
Ba1 0.0000 0.0000 0.0000
Sm1 0.6667 0.3333 0.4888
Ge1 0.3333 0.6667 0.5533

---

# Sc4Al2GaCu GGA-PBE relaxed
# Formation energy from the elements in eV per atom: -0.4274
# N(E_F) in states/eV/f.u.: 6.18
data_Sc4Al2GaCu
_chemical_formula_sum 'Sc12 Al6 Ga3 Cu3'
_cell_length_a 4.7462
_cell_length_b 4.7462
_cell_length_c 23.2934
_cell_angle_alpha 90.00
_cell_angle_beta 90.00
_cell_angle_gamma 120.00
_space_group_name_H-M_alt 'R -3 m'
_space_group_IT_number 166
_space_group_name_Hall '-R 3 2"'
loop_
_atom_site_label
_atom_site_fract_x
_atom_site_fract_y
_atom_site_fract_z
Sc1 0.0000 0.0000 0.1233
Sc2 0.0000 0.0000 0.3736
Al1 0.0000 0.0000 0.2511
Ga1 0.0000 0.0000 0.5000
Cu1 0.0000 0.0000 0.0000

---

# Sc2BiSe GGA-PBE relaxed
# ΔE_f (raw) in eV per atom: -1.073
# N(E_F) in states/eV/f.u.: 3.47
data_Sc2BiSe
_chemical_formula_sum 'Sc6 Bi3 Se3'
_cell_length_a 3.9534
_cell_length_b 3.9534
_cell_length_c 21.1538
_cell_angle_alpha 90.00
_cell_angle_beta 90.00
_cell_angle_gamma 120.00
_space_group_name_H-M_alt 'R 3 m'
_space_group_IT_number 160
_space_group_name_Hall 'R 3 -2"'
loop_
_atom_site_label
_atom_site_fract_x
_atom_site_fract_y
_atom_site_fract_z
Sc1 0.0000 0.0000 0.0000
Sc2 0.0000 0.0000 0.1867
Bi1 0.0000 0.0000 0.4260
Se1 0.0000 0.0000 0.5961

---

# TbTh3C GGA-PBE relaxed
# Formation energy from the elements in eV per atom: -0.1088
# N(E_F) in states/eV/f.u.: 4.82
data_TbTh3C
_chemical_formula_sum 'Tb1 Th3 C1'
_cell_length_a 5.1649
_cell_length_b 5.1649
_cell_length_c 5.1649
_cell_angle_alpha 90.00
_cell_angle_beta 90.00
_cell_angle_gamma 90.00
_space_group_name_H-M_alt 'P m -3 m'
_space_group_IT_number 221
_space_group_name_Hall '-P 4 2 3'
loop_
_atom_site_label
_atom_site_fract_x
_atom_site_fract_y
_atom_site_fract_z
Tb1 0.0000 0.0000 0.0000
Th1 0.0000 0.5000 0.5000
C1 0.5000 0.5000 0.5000

---

# Nd7Sm6Y16 GGA-PBE relaxed
# Formation energy from the elements in eV per atom: 0.1836
# N(E_F) in states/eV/f.u.: 52.51
data_Nd7Sm6Y16
_chemical_formula_sum 'Nd28 Sm24 Y64'
_cell_length_a 15.8199
_cell_length_b 15.8199
_cell_length_c 15.8199
_cell_angle_alpha 90.00
_cell_angle_beta 90.00
_cell_angle_gamma 90.00
_space_group_name_H-M_alt 'F m -3 m'
_space_group_IT_number 225
_space_group_name_Hall '-F 4 2 3'
loop_
_atom_site_label
_atom_site_fract_x
_atom_site_fract_y
_atom_site_fract_z
Nd1 0.0000 0.0000 0.0000
Nd2 0.0000 0.2500 0.2500
Sm1 0.0000 0.0000 0.2237
Y1 0.1135 0.1135 0.3865
Y2 0.1499 0.1499 0.1499

---

# CoPbBr2 GGA-PBE relaxed
# ΔE_f (raw) in eV per atom: 0.069
# N(E_F) in states/eV/f.u.: 3.80
data_CoPbBr2
_chemical_formula_sum 'Co2 Pb2 Br4'
_cell_length_a 3.9133
_cell_length_b 6.2254
_cell_length_c 9.1213
_cell_angle_alpha 90.00
_cell_angle_beta 90.00
_cell_angle_gamma 90.00
_space_group_name_H-M_alt 'C m m 2'
_space_group_IT_number 35
_space_group_name_Hall 'C 2 -2'
loop_
_atom_site_label
_atom_site_fract_x
_atom_site_fract_y
_atom_site_fract_z
Co1 0.0000 0.0000 0.0000
Pb1 0.0000 0.5000 0.2320
Br1 0.0000 0.0000 0.4740
Br2 0.0000 0.5000 0.8546

---

# AlRu GGA-PBE relaxed
# Formation energy from the elements in eV per atom: -0.0532
# N(E_F) in states/eV/f.u.: 1.86
data_AlRu
_chemical_formula_sum 'Al4 Ru4'
_cell_length_a 4.3200
_cell_length_b 4.3200
_cell_length_c 7.7556
_cell_angle_alpha 90.00
_cell_angle_beta 90.00
_cell_angle_gamma 120.00
_space_group_name_H-M_alt 'P 63/m m c'
_space_group_IT_number 194
_space_group_name_Hall '-P 6c 2c'
loop_
_atom_site_label
_atom_site_fract_x
_atom_site_fract_y
_atom_site_fract_z
Al1 0.3333 0.6667 0.0816
Ru1 0.0000 0.0000 0.2500
Ru2 0.3333 0.6667 0.7500

---

# TiGePd2 GGA-PBE relaxed
# Formation energy from the elements in eV per atom: -0.3346
# N(E_F) in states/eV/f.u.: 3.79
data_TiGePd2
_chemical_formula_sum 'Ti4 Ge4 Pd8'
_cell_length_a 3.8646
_cell_length_b 3.8646
_cell_length_c 17.8384
_cell_angle_alpha 90.00
_cell_angle_beta 90.00
_cell_angle_gamma 90.00
_space_group_name_H-M_alt 'I -4 2 d'
_space_group_IT_number 122
_space_group_name_Hall 'I -4 2bw'
loop_
_atom_site_label
_atom_site_fract_x
_atom_site_fract_y
_atom_site_fract_z
Ti1 0.0000 0.0000 0.0000
Ge1 0.0000 0.0000 0.5000
Pd1 0.2452 0.2500 0.6250

---

| no. | mass density (Mg/m³) |
| --- | --- |
| 1 | 6.951 |
| 2 | 4.679 |
| 3 | 12.179 |
| 4 | 7.725 |
| 5 | 4.402 |
| 6 | 6.788 |
| 7 | 9.148 |
| 8 | 8.079 |
| 9 | 4.746 |
| 10 | 6.275 |
| 11 | 8.642 |
| 12 | 8.198 |
| 13 | 5.557 |
| 14 | 4.024 |
| 15 | 6.574 |
| 16 | 10.450 |
| 17 | 5.594 |
| 18 | 6.366 |
| 19 | 6.785 |
| 20 | 8.311 |